# 1
La4InHg2 | PBE | relaxed

Output
- Polymorph energy (0 for the lowest one): 0.371 eV/atom
- DOS(E_F): 15.0 states/eV/f.u.
- Energy relative to the elements: 0.0200 eV/atom

Structure (CIF):
```
data_La4InHg2
_chemical_formula_sum 'La8 In2 Hg4'
_symmetry_space_group_name_H-M 'I 4/m m m'
_symmetry_Int_Tables_number 139
_symmetry_space_group_name_Hall '-I 4 2'
_cell_length_a 5.953
_cell_length_b 5.953
_cell_length_c 15.604
_cell_angle_alpha 90.00
_cell_angle_beta 90.00
_cell_angle_gamma 90.00
loop_
_atom_site_label
_atom_site_fract_x
_atom_site_fract_y
_atom_site_fract_z
_atom_site_occupancy
La1 0.000 0.000 0.200 1
La2 0.000 0.500 0.000 1
In1 0.000 0.000 0.000 1
Hg1 0.000 0.000 0.397 1
```

---

# 2
La2InHg | PBE | relaxed

Output
- DOS(E_F): 6.6 states/eV/f.u.
- Energy relative to the elements: -0.1690 eV/atom

Structure (CIF):
```
data_La2InHg
_chemical_formula_sum 'La8 In4 Hg4'
_symmetry_space_group_name_H-M 'I -4 2 d'
_symmetry_Int_Tables_number 122
_symmetry_space_group_name_Hall 'I -4 2bw'
_cell_length_a 8.829
_cell_length_b 8.829
_cell_length_c 6.691
_cell_angle_alpha 90.00
_cell_angle_beta 90.00
_cell_angle_gamma 90.00
loop_
_atom_site_label
_atom_site_fract_x
_atom_site_fract_y
_atom_site_fract_z
_atom_site_occupancy
La1 0.232 0.250 0.125 1
In1 0.000 0.000 0.500 1
Hg1 0.000 0.000 0.000 1
```

---

# 3
La2InHg | PBE | relaxed

Output
- DOS(E_F): 5.0 states/eV/f.u.
- Energy relative to the elements: -0.5054 eV/atom

Structure (CIF):
```
data_La2InHg
_chemical_formula_sum 'La2 In1 Hg1'
_symmetry_space_group_name_H-M 'P 1 2/m 1'
_symmetry_Int_Tables_number 10
_symmetry_space_group_name_Hall '-P 2y'
_cell_length_a 3.852
_cell_length_b 3.865
_cell_length_c 8.169
_cell_angle_alpha 90.00
_cell_angle_beta 90.09
_cell_angle_gamma 90.00
loop_
_atom_site_label
_atom_site_fract_x
_atom_site_fract_y
_atom_site_fract_z
_atom_site_occupancy
La1 0.000 0.000 0.248 1
In1 0.500 0.500 0.500 1
Hg1 0.500 0.500 0.000 1
```

---

# 4
La6In2Hg | PBE | relaxed

Output
- Polymorph energy (0 for the lowest one): 0.000 eV/atom
- DOS(E_F): 9.9 states/eV/f.u.
- Energy relative to the elements: -0.3476 eV/atom

Structure (CIF):
```
data_La6In2Hg
_chemical_formula_sum 'La12 In4 Hg2'
_symmetry_space_group_name_H-M 'A m m 2'
_symmetry_Int_Tables_number 38
_symmetry_space_group_name_Hall 'A 2 -2'
_cell_length_a 3.848
_cell_length_b 16.234
_cell_length_c 9.381
_cell_angle_alpha 90.00
_cell_angle_beta 90.00
_cell_angle_gamma 90.00
loop_
_atom_site_label
_atom_site_fract_x
_atom_site_fract_y
_atom_site_fract_z
_atom_site_occupancy
La1 0.000 0.000 0.000 1
La2 0.000 0.139 0.581 1
La3 0.500 0.000 0.328 1
La4 0.500 0.196 0.917 1
In1 0.000 0.167 0.221 1
Hg1 0.500 0.000 0.721 1
```

---

# 5
LaInHg6 | PBE | relaxed

Output
- Polymorph energy (0 for the lowest one): 0.000 eV/atom
- DOS(E_F): 4.0 states/eV/f.u.
- Energy relative to the elements: -0.2101 eV/atom

Structure (CIF):
```
data_LaInHg6
_chemical_formula_sum 'La2 In2 Hg12'
_symmetry_space_group_name_H-M 'C 1 2/m 1'
_symmetry_Int_Tables_number 12
_symmetry_space_group_name_Hall '-C 2y'
_cell_length_a 11.392
_cell_length_b 5.063
_cell_length_c 7.886
_cell_angle_alpha 90.00
_cell_angle_beta 112.50
_cell_angle_gamma 90.00
loop_
_atom_site_label
_atom_site_fract_x
_atom_site_fract_y
_atom_site_fract_z
_atom_site_occupancy
La1 0.000 0.000 0.000 1
In1 0.000 0.000 0.500 1
Hg1 0.004 0.500 0.732 1
Hg2 0.236 0.500 0.121 1
Hg3 0.250 0.000 0.380 1
```

---

# 6
LaInHg | PBE | relaxed

Output
- DOS(E_F): 1.9 states/eV/f.u.
- Energy relative to the elements: -0.4322 eV/atom

Structure (CIF):
```
data_LaInHg
_chemical_formula_sum 'La4 In4 Hg4'
_symmetry_space_group_name_H-M 'C 1 m 1'
_symmetry_Int_Tables_number 8
_symmetry_space_group_name_Hall 'C -2y'
_cell_length_a 13.304
_cell_length_b 4.553
_cell_length_c 6.566
_cell_angle_alpha 90.00
_cell_angle_beta 119.44
_cell_angle_gamma 90.00
loop_
_atom_site_label
_atom_site_fract_x
_atom_site_fract_y
_atom_site_fract_z
_atom_site_occupancy
La1 0.000 0.000 0.000 1
La2 0.143 0.500 0.617 1
In1 0.320 0.000 0.072 1
In2 0.442 0.500 0.446 1
Hg1 0.185 0.500 0.158 1
Hg2 0.319 0.000 0.572 1
```

---

# 7
La2InHg2 | PBE | relaxed

Output
- Polymorph energy (0 for the lowest one): 0.000 eV/atom
- DOS(E_F): 4.9 states/eV/f.u.
- Energy relative to the elements: -0.4796 eV/atom

Structure (CIF):
```
data_La2InHg2
_chemical_formula_sum 'La4 In2 Hg4'
_symmetry_space_group_name_H-M 'P 4/m b m'
_symmetry_Int_Tables_number 127
_symmetry_space_group_name_Hall '-P 4 2ab'
_cell_length_a 8.463
_cell_length_b 8.463
_cell_length_c 4.134
_cell_angle_alpha 90.00
_cell_angle_beta 90.00
_cell_angle_gamma 90.00
loop_
_atom_site_label
_atom_site_fract_x
_atom_site_fract_y
_atom_site_fract_z
_atom_site_occupancy
La1 0.175 0.325 0.000 1
In1 0.000 0.000 0.500 1
Hg1 0.126 0.626 0.500 1
```

---

# 8
LaInHg | PBE | relaxed

Output
- DOS(E_F): 1.9 states/eV/f.u.
- Energy relative to the elements: -0.4215 eV/atom

Structure (CIF):
```
data_LaInHg
_chemical_formula_sum 'La4 In4 Hg4'
_symmetry_space_group_name_H-M 'P n m a'
_symmetry_Int_Tables_number 62
_symmetry_space_group_name_Hall '-P 2ac 2n'
_cell_length_a 6.896
_cell_length_b 5.053
_cell_length_c 9.729
_cell_angle_alpha 90.00
_cell_angle_beta 90.00
_cell_angle_gamma 90.00
loop_
_atom_site_label
_atom_site_fract_x
_atom_site_fract_y
_atom_site_fract_z
_atom_site_occupancy
La1 0.161 0.250 0.088 1
In1 0.140 0.250 0.425 1
Hg1 0.054 0.250 0.743 1
```

---

# 9
LaInHg | PBE | relaxed

Output
- DOS(E_F): 2.3 states/eV/f.u.
- Energy relative to the elements: -0.4488 eV/atom

Structure (CIF):
```
data_LaInHg
_chemical_formula_sum 'La2 In2 Hg2'
_symmetry_space_group_name_H-M 'P -1'
_symmetry_Int_Tables_number 2
_symmetry_space_group_name_Hall '-P 1'
_cell_length_a 4.629
_cell_length_b 6.513
_cell_length_c 6.999
_cell_angle_alpha 117.66
_cell_angle_beta 109.24
_cell_angle_gamma 90.14
loop_
_atom_site_label
_atom_site_fract_x
_atom_site_fract_y
_atom_site_fract_z
_atom_site_occupancy
La1 0.185 0.184 0.370 1
In1 0.499 0.250 0.999 1
Hg1 0.130 0.629 0.261 1
```

---

# 10
La2InHg5 | PBE | relaxed

Output
- DOS(E_F): 7.4 states/eV/f.u.
- Energy relative to the elements: -0.3888 eV/atom

Structure (CIF):
```
data_La2InHg5
_chemical_formula_sum 'La4 In2 Hg10'
_symmetry_space_group_name_H-M 'C 1 m 1'
_symmetry_Int_Tables_number 8
_symmetry_space_group_name_Hall 'C -2y'
_cell_length_a 11.556
_cell_length_b 6.828
_cell_length_c 6.835
_cell_angle_alpha 90.00
_cell_angle_beta 126.27
_cell_angle_gamma 90.00
loop_
_atom_site_label
_atom_site_fract_x
_atom_site_fract_y
_atom_site_fract_z
_atom_site_occupancy
La1 0.000 0.000 0.000 1
La2 0.034 0.500 0.510 1
In1 0.016 0.500 0.996 1
Hg1 0.018 0.000 0.511 1
Hg2 0.262 0.239 0.012 1
Hg3 0.272 0.239 0.498 1
```

---

# 11
LaInHg | PBE | relaxed

Output
- DOS(E_F): 1.6 states/eV/f.u.
- Energy relative to the elements: -0.3908 eV/atom

Structure (CIF):
```
data_LaInHg
_chemical_formula_sum 'La2 In2 Hg2'
_symmetry_space_group_name_H-M 'I 4 m m'
_symmetry_Int_Tables_number 107
_symmetry_space_group_name_Hall 'I 4 -2'
_cell_length_a 3.677
_cell_length_b 3.677
_cell_length_c 12.324
_cell_angle_alpha 90.00
_cell_angle_beta 90.00
_cell_angle_gamma 90.00
loop_
_atom_site_label
_atom_site_fract_x
_atom_site_fract_y
_atom_site_fract_z
_atom_site_occupancy
La1 0.000 0.000 0.000 1
In1 0.000 0.000 0.684 1
Hg1 0.000 0.000 0.330 1
```

---

# 12
LaIn2Hg | PBE | relaxed

Output
- DOS(E_F): 2.4 states/eV/f.u.
- Energy relative to the elements: -0.4396 eV/atom

Structure (CIF):
```
data_LaIn2Hg
_chemical_formula_sum 'La2 In4 Hg2'
_symmetry_space_group_name_H-M 'C 1 2/m 1'
_symmetry_Int_Tables_number 12
_symmetry_space_group_name_Hall '-C 2y'
_cell_length_a 6.747
_cell_length_b 6.760
_cell_length_c 4.755
_cell_angle_alpha 90.00
_cell_angle_beta 90.17
_cell_angle_gamma 90.00
loop_
_atom_site_label
_atom_site_fract_x
_atom_site_fract_y
_atom_site_fract_z
_atom_site_occupancy
La1 0.000 0.000 0.000 1
In1 0.250 0.250 0.500 1
Hg1 0.000 0.500 0.000 1
```

---

| no. | magnetic moment (μB per atom) | energy (eV for the cell shown) |
| --- | --- | --- |
| 1 | 0.000 | -45.82 |
| 2 | 0.125 | -54.28 |
| 3 | 0.000 | -14.92 |
| 4 | 0.000 | -76.94 |
| 5 | 0.000 | -22.31 |
| 6 | 0.000 | -37.06 |
| 7 | 0.000 | -31.19 |
| 8 | 0.000 | -36.93 |
| 9 | 0.000 | -18.63 |
| 10 | 0.000 | -34.43 |
| 11 | 0.000 | -18.28 |
| 12 | 0.000 | -24.93 |